# 1
The following is a PBE calculation of a relaxed AgIr2Rh crystal, from the Alexandria database.

a b c (Å): 3.8940 3.8940 3.9943
angles (deg): 90.00 90.00 90.00
Fractional positions:
Ag: 0.0000 0.0000 0.0000
Ir: 0.0000 0.5000 0.5000
Ir: 0.5000 0.0000 0.5000
Rh: 0.5000 0.5000 0.0000

Results
Relative energy among the computed polymorphs = 254 meV per atom
Crystal system = tetragonal
SG = No. 123
Total DFT energy (no corrections) = -6.5671 eV per atom



# 2
The following is a PBE calculation of a relaxed AgIr2Rh crystal, from the Alexandria database.

a b c (Å): 9.2765 9.2765 9.2765
angles (deg): 17.16 17.16 17.16
Fractional positions:
Ag: 0.0000 0.0000 0.0000
Ir: 0.2450 0.2450 0.2450
Ir: 0.4995 0.4995 0.4995
Rh: 0.7539 0.7539 0.7539

Results
Relative energy among the computed polymorphs = 0 meV per atom
Crystal system = trigonal
SG = No. 160
Total DFT energy (no corrections) = -6.8210 eV per atom



# 3
The following is a PBE calculation of a relaxed AgIrRh2 crystal, from the Alexandria database.

a b c (Å): 2.7584 4.6932 4.7189
angles (deg): 90.00 90.00 90.00
Fractional positions:
Ag: 0.0000 0.0000 0.0000
Ir: 0.5000 0.0000 0.5000
Rh: 0.0000 0.5000 0.5000
Rh: 0.5000 0.5000 0.0000

Results
Relative energy among the computed polymorphs = 326 meV per atom
Crystal system = orthorhombic
SG = No. 47
Total DFT energy (no corrections) = -6.1622 eV per atom



# 4
The following is a PBE calculation of a relaxed AgIrRh2 crystal, from the Alexandria database.

a b c (Å): 4.8085 4.8085 4.8165
angles (deg): 100.02 100.02 33.34
Fractional positions:
Ag: 0.0000 0.0000 0.0000
Ir: 0.7577 0.7577 0.2764
Rh: 0.2422 0.2422 0.7505
Rh: 0.4976 0.4976 0.4963

Results
Relative energy among the computed polymorphs = 110 meV per atom
Crystal system = monoclinic
SG = No. 8
Total DFT energy (no corrections) = -6.3782 eV per atom



# 5
The following is a PBE calculation of a relaxed AgIr2Rh crystal, from the Alexandria database.

a b c (Å): 2.7316 2.7316 9.5366
angles (deg): 90.00 90.00 119.85
Fractional positions:
Ag: 0.0000 0.0000 0.0000
Ir: 0.5000 0.5000 0.2607
Ir: 0.5000 0.5000 0.7393
Rh: 0.0000 0.0000 0.5000

Results
Relative energy among the computed polymorphs = 190 meV per atom
Crystal system = orthorhombic
SG = No. 65
Total DFT energy (no corrections) = -6.6313 eV per atom



# 6
The following is a PBE calculation of a relaxed Ag2IrRh crystal, from the Alexandria database.

a b c (Å): 2.7399 4.8928 4.7971
angles (deg): 90.00 90.79 90.00
Fractional positions:
Ag: 0.2503 0.0000 0.2496
Ag: 0.7497 0.0000 0.7504
Ir: 0.0000 0.5000 0.5000
Rh: 0.5000 0.5000 0.0000

Results
Relative energy among the computed polymorphs = 202 meV per atom
Crystal system = monoclinic
SG = No. 10
Total DFT energy (no corrections) = -5.1073 eV per atom



# 7
The following is a PBE calculation of a relaxed AgIrRh2 crystal, from the Alexandria database.

a b c (Å): 4.7705 4.7705 4.7705
angles (deg): 131.35 131.35 71.27
Fractional positions:
Ag: 0.0000 0.0000 0.0000
Ir: 0.5000 0.5000 0.0000
Rh: 0.2500 0.7500 0.5000
Rh: 0.7500 0.2500 0.5000

Results
Relative energy among the computed polymorphs = 160 meV per atom
Crystal system = tetragonal
SG = No. 139
Total DFT energy (no corrections) = -6.3280 eV per atom



# 8
The following is a PBE calculation of a relaxed AgSnIrRh crystal, from the Alexandria database.

a b c (Å): 4.5332 4.5332 4.5332
angles (deg): 60.00 60.00 60.00
Fractional positions:
Ag: 0.0000 0.0000 0.0000
Sn: 0.5000 0.5000 0.5000
Ir: 0.2500 0.2500 0.2500
Rh: 0.7500 0.7500 0.7500

Results
Crystal system = cubic
SG = No. 216
Total DFT energy (no corrections) = -5.8126 eV per atom



# 9
The following is a PBE calculation of a relaxed TcAgIr2Rh crystal, from the Alexandria database.

a b c (Å): 4.6792 4.6792 4.9199
angles (deg): 90.00 90.00 90.00
Fractional positions:
Tc: 0.0000 0.0000 0.0000
Ag: 0.5000 0.5000 0.0000
Ir: 0.0000 0.5000 0.5000
Ir: 0.5000 0.0000 0.5000
Rh: 0.5000 0.5000 0.5000

Results
Crystal system = tetragonal
SG = No. 123
Total DFT energy (no corrections) = -5.6934 eV per atom



# 10
The following is a PBE calculation of a relaxed Ag2IrRhW crystal, from the Alexandria database.

a b c (Å): 4.9838 4.9838 4.6212
angles (deg): 90.00 90.00 90.00
Fractional positions:
Ag: 0.0000 0.5000 0.0000
Ag: 0.5000 0.0000 0.0000
Ir: 0.0000 0.0000 0.0000
Rh: 0.0000 0.0000 0.5000
W: 0.5000 0.5000 0.5000

Results
Crystal system = tetragonal
SG = No. 123
Total DFT energy (no corrections) = -4.9543 eV per atom



# 11
The following is a PBE calculation of a relaxed Zn2AgIrRh crystal, from the Alexandria database.

a b c (Å): 4.5795 4.5795 4.9453
angles (deg): 90.00 90.00 90.00
Fractional positions:
Zn: 0.0000 0.5000 0.0000
Zn: 0.5000 0.0000 0.0000
Ag: 0.0000 0.0000 0.0000
Ir: 0.0000 0.0000 0.5000
Rh: 0.5000 0.5000 0.5000

Results
Crystal system = tetragonal
SG = No. 123
Total DFT energy (no corrections) = -2.9600 eV per atom



# 12
The following is a PBE calculation of a relaxed AgIr2Ru crystal, from the Alexandria database.

a b c (Å): 2.7492 2.7492 8.0222
angles (deg): 90.00 90.00 90.00
Fractional positions:
Ag: 0.0000 0.0000 0.0000
Ir: 0.0000 0.0000 0.5057
Ir: 0.5000 0.5000 0.2687
Ru: 0.5000 0.5000 0.7317

Results
Relative energy among the computed polymorphs = 75 meV per atom
Crystal system = tetragonal
SG = No. 99
Total DFT energy (no corrections) = -7.2002 eV per atom



# 13
The following is a PBE calculation of a relaxed Ag2IrRu crystal, from the Alexandria database.

a b c (Å): 4.7412 4.7412 5.1518
angles (deg): 98.07 98.07 34.02
Fractional positions:
Ag: 0.0000 0.0000 0.0000
Ag: 0.2465 0.2465 0.7844
Ir: 0.4937 0.4937 0.4745
Ru: 0.7537 0.7537 0.3120

Results
Relative energy among the computed polymorphs = 191 meV per atom
Crystal system = monoclinic
SG = No. 8
Total DFT energy (no corrections) = -5.5488 eV per atom



# 14
The following is a PBE calculation of a relaxed AgIrRu2 crystal, from the Alexandria database.

a b c (Å): 4.8263 4.8263 4.8263
angles (deg): 132.81 132.81 68.96
Fractional positions:
Ag: 0.0000 0.0000 0.0000
Ir: 0.5000 0.5000 0.0000
Ru: 0.2500 0.7500 0.5000
Ru: 0.7500 0.2500 0.5000

Results
Relative energy among the computed polymorphs = 240 meV per atom
Crystal system = tetragonal
SG = No. 139
Total DFT energy (no corrections) = -7.0868 eV per atom



# 15
The following is a PBE calculation of a relaxed AgIr2Ru2 crystal, from the Alexandria database.

a b c (Å): 7.5779 7.5779 2.7415
angles (deg): 90.00 90.00 90.00
Fractional positions:
Ag: 0.0000 0.0000 0.0000
Ag: 0.5000 0.5000 0.0000
Ir: 0.1223 0.3777 0.0000
Ir: 0.3777 0.8777 0.0000
Ir: 0.6223 0.1223 0.0000
Ir: 0.8777 0.6223 0.0000
Ru: 0.1723 0.6723 0.5000
Ru: 0.3277 0.1723 0.5000
Ru: 0.6723 0.8277 0.5000
Ru: 0.8277 0.3277 0.5000

Results
Relative energy among the computed polymorphs = 0 meV per atom
Crystal system = tetragonal
SG = No. 127
Total DFT energy (no corrections) = -7.5196 eV per atom



# 16
The following is a PBE calculation of a relaxed AgIrRu2 crystal, from the Alexandria database.

a b c (Å): 4.7696 4.7696 4.8550
angles (deg): 99.18 99.18 33.40
Fractional positions:
Ag: 0.0000 0.0000 0.0000
Ir: 0.5000 0.5000 0.5000
Ru: 0.2410 0.2410 0.7294
Ru: 0.7590 0.7590 0.2706

Results
Relative energy among the computed polymorphs = 161 meV per atom
Crystal system = monoclinic
SG = No. 12
Total DFT energy (no corrections) = -7.1657 eV per atom



# 17
The following is a PBE calculation of a relaxed AgIr4Ru crystal, from the Alexandria database.

a b c (Å): 5.1677 5.1677 5.1677
angles (deg): 60.00 60.00 60.00
Fractional positions:
Ag: 0.0000 0.0000 0.0000
Ir: 0.1251 0.6250 0.6250
Ir: 0.6250 0.1251 0.6250
Ir: 0.6250 0.6250 0.1251
Ir: 0.6250 0.6250 0.6250
Ru: 0.2500 0.2500 0.2500

Results
Crystal system = cubic
SG = No. 216
Total DFT energy (no corrections) = -7.2902 eV per atom



# 18
The following is a PBE calculation of a relaxed Ag2IrRu crystal, from the Alexandria database.

a b c (Å): 9.7477 9.7477 9.7477
angles (deg): 16.26 16.26 16.26
Fractional positions:
Ag: 0.2493 0.2493 0.2493
Ag: 0.7507 0.7507 0.7507
Ir: 0.0000 0.0000 0.0000
Ru: 0.5000 0.5000 0.5000

Results
Relative energy among the computed polymorphs = 247 meV per atom
Crystal system = trigonal
SG = No. 166
Total DFT energy (no corrections) = -5.4924 eV per atom



# 19
The following is a PBE calculation of a relaxed Ag2IrRu crystal, from the Alexandria database.

a b c (Å): 2.7609 2.7609 9.7895
angles (deg): 90.00 90.00 119.68
Fractional positions:
Ag: 0.0000 0.0000 0.0000
Ag: 0.5000 0.5000 0.2617
Ir: 0.5000 0.5000 0.7419
Ru: 0.0000 0.0000 0.5190

Results
Relative energy among the computed polymorphs = 165 meV per atom
Crystal system = orthorhombic
SG = No. 35
Total DFT energy (no corrections) = -5.5743 eV per atom



# 20
The following is a PBE calculation of a relaxed AgIr2Ru crystal, from the Alexandria database.

a b c (Å): 2.7510 2.7510 7.9995
angles (deg): 90.00 90.00 90.00
Fractional positions:
Ag: 0.0000 0.0000 0.0000
Ir: 0.5000 0.5000 0.2712
Ir: 0.5000 0.5000 0.7288
Ru: 0.0000 0.0000 0.5000

Results
Relative energy among the computed polymorphs = 0 meV per atom
Crystal system = tetragonal
SG = No. 123
Total DFT energy (no corrections) = -7.2755 eV per atom



Computed E_form, in the same sequence as the records: 0.414; 0.160; 0.442; 0.226; 0.350; 0.371; 0.276; -0.046; 1.965; 2.019; 1.362; 0.262; 0.411; 0.479; 0.305; 0.400; 0.638; 0.467; 0.386; 0.187 eV/atom.